1.
A plane-wave DFT calculation with PBE was carried out for a relaxed structure of Pm2HoBi2.

Density = 8.511 Mg/m³
Crystal system = orthorhombic
SG = Ibam
N(E_F) = 4.1 states/eV/f.u.

Cell: 8.1331 8.1331 8.1331 Å, 115.41 83.46 133.22°
With the nearest neighbours (Å) after each atom.
Atoms (fractional coordinates):
Pm (0.1521, 0.1459, 0.2980)  5 Bi 3.14-3.33
Pm (0.3479, 0.6459, 0.9938)  5 Bi 3.14-3.33
Pm (0.6521, 0.3541, 0.0062)  5 Bi 3.14-3.33
Pm (0.8479, 0.8541, 0.7020)  5 Bi 3.14-3.33
Ho (0.2500, 0.7500, 0.5000)  4 Bi 3.21, 2 Ho 3.23
Ho (0.7500, 0.2500, 0.5000)  4 Bi 3.21, 2 Ho 3.23
Bi (0.1080, 0.7816, 0.8896)  5 Pm 3.14-3.33, 2 Ho 3.21
Bi (0.3920, 0.2816, 0.6736)  5 Pm 3.14-3.33, 2 Ho 3.21
Bi (0.6080, 0.7184, 0.3264)  5 Pm 3.14-3.33, 2 Ho 3.21
Bi (0.8920, 0.2184, 0.1104)  5 Pm 3.14-3.33, 2 Ho 3.21

2.
A plane-wave DFT calculation with PBE was carried out for a relaxed structure of DyRhO3.

Density = 8.621 Mg/m³
Crystal system = monoclinic
SG = C2/c
ΔE_f (raw) = -2.088 eV/atom

Cell: 5.7058 5.7058 9.2832 Å, 107.80 107.80 58.55°
With the nearest neighbours (Å) after each atom.
Atoms (fractional coordinates):
Dy (0.0344, 0.6756, 0.8645)  6 O 2.25-2.41
Dy (0.3244, 0.9656, 0.6355)  6 O 2.25-2.41
Dy (0.6756, 0.0344, 0.3645)  6 O 2.25-2.41
Dy (0.9656, 0.3244, 0.1355)  6 O 2.25-2.41
Rh (0.0000, 0.5000, 0.5000)  6 O 2.03-2.10
Rh (0.2736, 0.7264, 0.2500)  6 O 2.03-2.12
Rh (0.5000, 0.0000, 0.0000)  6 O 2.03-2.10
Rh (0.7264, 0.2736, 0.7500)  6 O 2.03-2.12
O (0.1265, 0.2301, 0.8637)  2 Rh 2.08-2.12, 1 Dy 2.31
O (0.1585, 0.7108, 0.4408)  2 Rh 2.10-2.11, 1 Dy 2.25
O (0.2301, 0.1265, 0.3637)  2 Rh 2.08-2.12, 1 Dy 2.31
O (0.2892, 0.8415, 0.0592)  2 Rh 2.10-2.11, 1 Dy 2.25
O (0.3118, 0.3919, 0.6854)  2 Rh 2.03
O (0.3919, 0.3118, 0.1854)  2 Rh 2.03
O (0.6081, 0.6882, 0.8146)  2 Rh 2.03
O (0.6882, 0.6081, 0.3146)  2 Rh 2.03
O (0.7108, 0.1585, 0.9408)  2 Rh 2.10-2.11, 1 Dy 2.25
O (0.7699, 0.8735, 0.6363)  2 Rh 2.08-2.12, 1 Dy 2.31
O (0.8415, 0.2892, 0.5592)  2 Rh 2.10-2.11, 1 Dy 2.25
O (0.8735, 0.7699, 0.1363)  2 Rh 2.08-2.12, 1 Dy 2.31

3.
A plane-wave DFT calculation with PBE was carried out for a relaxed structure of LiInPb.

Density = 7.316 Mg/m³
Crystal system = orthorhombic
SG = Pnma
N(E_F) = 0.9 states/eV/f.u.

Cell: 6.3819 4.7832 9.7843 Å, 90.00 90.00 90.00°
With the nearest neighbours (Å) after each atom.
Atoms (fractional coordinates):
Li (0.1494, 0.2500, 0.0964)  5 In 3.11-3.38, 5 Pb 3.19-3.20
Li (0.3506, 0.7500, 0.5964)  5 In 3.11-3.38, 5 Pb 3.19-3.20
Li (0.6494, 0.2500, 0.4036)  5 In 3.11-3.38, 5 Pb 3.19-3.20
Li (0.8506, 0.7500, 0.9036)  5 In 3.11-3.38, 5 Pb 3.19-3.20
In (0.0803, 0.2500, 0.7656)  5 Li 3.11-3.38, 2 In 3.21, 5 Pb 3.32-3.38
In (0.4197, 0.7500, 0.2656)  5 Li 3.11-3.38, 2 In 3.21, 5 Pb 3.32-3.38
In (0.5803, 0.2500, 0.7344)  5 Li 3.11-3.38, 2 In 3.21, 5 Pb 3.32-3.38
In (0.9197, 0.7500, 0.2344)  5 Li 3.11-3.38, 2 In 3.21, 5 Pb 3.32-3.38
Pb (0.1506, 0.2500, 0.4234)  5 Li 3.19-3.20, 5 In 3.32-3.38, 2 Pb 3.41
Pb (0.3494, 0.7500, 0.9234)  5 Li 3.19-3.20, 5 In 3.32-3.38, 2 Pb 3.41
Pb (0.6506, 0.2500, 0.0766)  5 Li 3.19-3.20, 5 In 3.32-3.38, 2 Pb 3.41
Pb (0.8494, 0.7500, 0.5766)  5 Li 3.19-3.20, 5 In 3.32-3.38, 2 Pb 3.41

4.
A plane-wave DFT calculation with PBE was carried out for a relaxed structure of KNaTl2As.

Density = 5.735 Mg/m³
Crystal system = orthorhombic
SG = Imm2
N(E_F) = 2.2 states/eV/f.u.

Cell: 7.5055 7.5055 7.5055 Å, 144.23 139.92 54.80°
With the nearest neighbours (Å) after each atom.
Atoms (fractional coordinates):
K (0.0000, 0.0000, 0.0000)  4 As 3.70, 2 Na 3.72, 6 Tl 3.75-4.10
Na (0.2186, 0.7186, 0.5000)  2 As 3.02, 2 Tl 3.24
Tl (0.3897, 0.3897, 0.0000)  1 As 2.79
Tl (0.7398, 0.2398, 0.5000)  2 As 2.97, 2 Tl 3.26
As (0.5993, 0.5993, 0.0000)  3 Tl 2.79-2.97, 2 Na 3.02

For each record above, in turn, the calculated calculated total energy values are -49.77 -149.07 -35.41 -12.86 eV for the cell shown.